A relaxed SrTbTm4Se8 crystal. Source: Alexandria, functional PBE.

Results
For the calculated volume, the calculation gives 428.2 Å³/cell. As for the space-group type: R3m, No. 160. The electronic total energy comes out at -5.490 eV/atom.

Cell: 8.4408 8.4408 8.4803 Å, 60.15 60.15 60.00°
Fractional coordinates of all 14 atoms:
1 Sr 0.3737 0.3737 0.8789
2 Tb 0.0021 0.0021 0.9936
3 Tm 0.6252 0.6252 0.1244
4 Tm 0.0017 0.4947 0.5020
5 Tm 0.4947 0.0017 0.5020
6 Tm 0.0017 0.0017 0.5020
7 Se 0.2391 0.7911 0.7307
8 Se 0.7911 0.2391 0.7307
9 Se 0.2391 0.2391 0.7307
10 Se 0.2353 0.2353 0.2942
11 Se 0.7549 0.2290 0.2612
12 Se 0.2290 0.7549 0.2612
13 Se 0.7549 0.7549 0.2612
14 Se 0.7576 0.7576 0.7272


A relaxed SrTbY2Se4 crystal. Source: Alexandria, functional PBE.

Results
For the calculated volume, the calculation gives 204.1 Å³/cell. As for the space-group type: P2/m, No. 10. The electronic total energy comes out at -5.960 eV/atom.

Cell: 4.1403 7.2215 7.2218 Å, 70.92 90.00 90.00°
Fractional coordinates of all 8 atoms:
1 Sr 0.5000 0.5000 0.0000
2 Tb 0.0000 0.5000 0.5000
3 Y 0.0000 0.0000 0.0000
4 Y 0.5000 0.0000 0.5000
5 Se 0.0000 0.7613 0.7391
6 Se 0.0000 0.2387 0.2609
7 Se 0.5000 0.7555 0.2546
8 Se 0.5000 0.2445 0.7454


A relaxed Sr3Tb2YSe6 crystal. Source: Alexandria, functional PBE.

Results
For the calculated volume, the calculation gives 325.6 Å³/cell. As for the space-group type: C2/m, No. 12. The electronic total energy comes out at -5.365 eV/atom.

Cell: 7.2943 7.2943 7.4697 Å, 99.39 99.39 119.95°
Fractional coordinates of all 12 atoms:
1 Sr 0.1668 0.8332 0.5000
2 Sr 0.8332 0.1668 0.5000
3 Sr 0.5000 0.5000 0.5000
4 Tb 0.3334 0.6666 0.0000
5 Tb 0.6666 0.3334 0.0000
6 Y 0.0000 0.0000 0.0000
7 Se 0.9229 0.5900 0.7685
8 Se 0.7443 0.7443 0.2317
9 Se 0.0771 0.4100 0.2315
10 Se 0.5900 0.9229 0.7685
11 Se 0.2557 0.2557 0.7683
12 Se 0.4100 0.0771 0.2315


A relaxed SrTb4YSe8 crystal. Source: Alexandria, functional PBE.

Results
For the calculated volume, the calculation gives 443.0 Å³/cell. As for the space-group type: R3m, No. 160. The electronic total energy comes out at -5.697 eV/atom.

Cell: 8.5585 8.5585 8.5554 Å, 59.99 59.99 60.00°
Fractional coordinates of all 14 atoms:
1 Sr 0.3749 0.3749 0.8754
2 Tb 0.6249 0.6249 0.1252
3 Tb 0.0018 0.4945 0.5019
4 Tb 0.4945 0.0018 0.5019
5 Tb 0.0018 0.0018 0.5019
6 Y 0.0019 0.0019 0.9942
7 Se 0.2365 0.7900 0.7371
8 Se 0.7900 0.2365 0.7371
9 Se 0.2365 0.2365 0.7371
10 Se 0.2366 0.2366 0.2903
11 Se 0.7581 0.2270 0.2568
12 Se 0.2270 0.7581 0.2568
13 Se 0.7581 0.7581 0.2568
14 Se 0.7575 0.7575 0.7275


A relaxed SrTb2YSe4 crystal. Source: Alexandria, functional PBE.

Results
For the calculated volume, the calculation gives 204.5 Å³/cell. As for the space-group type: P2/m, No. 10. The electronic total energy comes out at -5.730 eV/atom.

Cell: 4.1432 7.2271 7.2260 Å, 70.93 90.00 90.00°
Fractional coordinates of all 8 atoms:
1 Sr 0.5000 0.5000 0.0000
2 Tb 0.0000 0.0000 0.0000
3 Tb 0.5000 0.0000 0.5000
4 Y 0.0000 0.5000 0.5000
5 Se 0.0000 0.7604 0.7392
6 Se 0.0000 0.2396 0.2608
7 Se 0.5000 0.7543 0.2551
8 Se 0.5000 0.2457 0.7449


A relaxed Sr4TbY3Se8 crystal. Source: Alexandria, functional PBE.

Results
For the calculated volume, the calculation gives 433.4 Å³/cell. As for the space-group type: R-3m, No. 166. The electronic total energy comes out at -5.558 eV/atom.

Cell: 8.4171 8.5733 8.4177 Å, 119.40 120.00 90.00°
Fractional coordinates of all 16 atoms:
1 Sr 0.5000 0.0000 0.0000
2 Sr 0.5000 0.0000 0.5000
3 Sr 0.0000 0.0000 0.0000
4 Sr 0.0000 0.0000 0.5000
5 Tb 0.0000 0.5000 0.0000
6 Y 0.5000 0.5000 0.0000
7 Y 0.5000 0.5000 0.5000
8 Y 0.0000 0.5000 0.5000
9 Se 0.2437 0.7312 0.9874
10 Se 0.2441 0.7313 0.4883
11 Se 0.2564 0.2689 0.5128
12 Se 0.7436 0.7312 0.9874
13 Se 0.2564 0.2688 0.0126
14 Se 0.7436 0.7311 0.4872
15 Se 0.7559 0.2687 0.5117
16 Se 0.7563 0.2688 0.0126


A relaxed Sr2TbZnSe5 crystal. Source: Alexandria, functional PBE.

Results
For the calculated volume, the calculation gives 490.4 Å³/cell. As for the space-group type: Cmc2_1, No. 36. The electronic total energy comes out at -4.485 eV/atom.

Cell: 4.1573 9.4952 12.7329 Å, 90.00 90.00 102.65°
Fractional coordinates of all 18 atoms:
1 Sr 0.8772 0.7543 0.8263
2 Sr 0.1162 0.2325 0.6876
3 Sr 0.1228 0.2457 0.3263
4 Sr 0.8838 0.7675 0.1876
5 Tb 0.7957 0.5914 0.5204
6 Tb 0.2043 0.4086 0.0204
7 Zn 0.5590 0.1181 0.9354
8 Zn 0.4410 0.8819 0.4354
9 Se 0.3558 0.7116 0.0098
10 Se 0.6892 0.3785 0.8631
11 Se 0.4977 0.9955 0.7671
12 Se 0.2969 0.5938 0.6745
13 Se 0.9550 0.9100 0.5398
14 Se 0.6442 0.2884 0.5098
15 Se 0.3108 0.6215 0.3631
16 Se 0.5023 0.0045 0.2671
17 Se 0.7031 0.4062 0.1745
18 Se 0.0450 0.0900 0.0398


A relaxed SrTc2Se crystal. Source: Alexandria, functional PBE.

Results
For the calculated volume, the calculation gives 92.6 Å³/cell. As for the space-group type: C2/m, No. 12. The electronic total energy comes out at -6.276 eV/atom.

Cell: 5.5823 5.5823 5.2236 Å, 71.82 71.82 37.02°
Fractional coordinates of all 4 atoms:
1 Se 0.2500 0.2500 0.2500
2 Sr 0.7500 0.7500 0.7500
3 Tc 0.9654 0.9654 0.1462
4 Tc 0.5346 0.5346 0.3538


A relaxed SrTcSe2 crystal. Source: Alexandria, functional PBE.

Results
For the calculated volume, the calculation gives 94.6 Å³/cell. As for the space-group type: F-43m, No. 216. The electronic total energy comes out at -4.396 eV/atom.

Cell: 5.1148 5.1148 5.1148 Å, 60.00 60.00 60.00°
Fractional coordinates of all 4 atoms:
1 Se 0.0000 0.0000 0.0000
2 Se 0.2500 0.2500 0.2500
3 Sr 0.5000 0.5000 0.5000
4 Tc 0.7500 0.7500 0.7500


A relaxed SrTcSe2 crystal. Source: Alexandria, functional PBE.

Results
For the calculated volume, the calculation gives 89.1 Å³/cell. As for the space-group type: R-3m, No. 166. The electronic total energy comes out at -5.516 eV/atom.

Cell: 4.0999 4.0999 6.5593 Å, 71.79 71.79 60.04°
Fractional coordinates of all 4 atoms:
1 Se 0.0214 0.0214 0.9357
2 Se 0.4786 0.4786 0.5643
3 Sr 0.2500 0.2500 0.2500
4 Tc 0.7500 0.7500 0.7500


A relaxed SrTc2Se crystal. Source: Alexandria, functional PBE.

Results
For the calculated volume, the calculation gives 89.9 Å³/cell. As for the space-group type: R3m, No. 160. The electronic total energy comes out at -6.667 eV/atom.

Cell: 4.1886 4.1886 6.3918 Å, 70.88 70.88 59.99°
Fractional coordinates of all 4 atoms:
1 Se 0.5329 0.5329 0.4010
2 Sr 0.7517 0.7517 0.7453
3 Tc 0.9523 0.9523 0.1432
4 Tc 0.2632 0.2632 0.2105


A relaxed SrTc2Se crystal. Source: Alexandria, functional PBE.

Results
For the calculated volume, the calculation gives 84.0 Å³/cell. As for the space-group type: Pmmm, No. 47. The electronic total energy comes out at -5.821 eV/atom.

Cell: 3.1932 4.2660 6.1683 Å, 90.00 90.00 90.00°
Fractional coordinates of all 4 atoms:
1 Se 0.5000 0.5000 0.2500
2 Sr 0.5000 0.5000 0.7500
3 Tc 0.0000 0.0000 0.0718
4 Tc 0.0000 0.0000 0.4282


A relaxed SrTc2Se crystal. Source: Alexandria, functional PBE.

Results
For the calculated volume, the calculation gives 192.3 Å³/cell. As for the space-group type: I-42d, No. 122. The electronic total energy comes out at -6.234 eV/atom.

Cell: 4.6108 4.6108 9.6146 Å, 76.13 76.13 90.00°
Fractional coordinates of all 8 atoms:
1 Sr 0.0000 0.0000 0.0000
2 Sr 0.7500 0.2500 0.5000
3 Tc 0.3160 0.1250 0.2500
4 Tc 0.4340 0.6250 0.2500
5 Tc 0.3750 0.6840 0.7500
6 Tc 0.8750 0.5660 0.7500
7 Se 0.5000 0.5000 0.0000
8 Se 0.2500 0.7500 0.5000


A relaxed SrTcSe2 crystal. Source: Alexandria, functional PBE.

Results
For the calculated volume, the calculation gives 104.5 Å³/cell. As for the space-group type: I-4m2, No. 119. The electronic total energy comes out at -4.903 eV/atom.

Cell: 6.9197 6.9197 6.9197 Å, 145.75 145.75 49.22°
Fractional coordinates of all 4 atoms:
1 Se 0.0000 0.0000 0.0000
2 Se 0.2500 0.7500 0.5000
3 Sr 0.5000 0.5000 0.0000
4 Tc 0.7500 0.2500 0.5000


A relaxed SrTc2Se crystal. Source: Alexandria, functional PBE.

Results
For the calculated volume, the calculation gives 78.8 Å³/cell. As for the space-group type: R-3m, No. 166. The electronic total energy comes out at -5.767 eV/atom.

Cell: 8.7895 8.7895 8.7895 Å, 21.34 21.34 21.34°
Fractional coordinates of all 4 atoms:
1 Se 0.2500 0.2500 0.2500
2 Sr 0.7500 0.7500 0.7500
3 Tc 0.9819 0.9819 0.9819
4 Tc 0.5181 0.5181 0.5181


A relaxed SrTcSe2 crystal. Source: Alexandria, functional PBE.

Results
For the calculated volume, the calculation gives 101.6 Å³/cell. As for the space-group type: P4mm, No. 99. The electronic total energy comes out at -5.223 eV/atom.

Cell: 4.1447 4.1434 5.9182 Å, 90.00 90.00 90.00°
Fractional coordinates of all 4 atoms:
1 Se 0.0000 0.0000 0.8774
2 Se 0.5000 0.5000 0.3551
3 Sr 0.0000 0.0000 0.3784
4 Tc 0.5000 0.5000 0.8891


A relaxed SrTc2Se crystal. Source: Alexandria, functional PBE.

Results
For the calculated volume, the calculation gives 76.5 Å³/cell. As for the space-group type: F-43m, No. 216. The electronic total energy comes out at -5.869 eV/atom.

Cell: 4.7642 4.7642 4.7642 Å, 60.00 60.00 60.00°
Fractional coordinates of all 4 atoms:
1 Se 0.5000 0.5000 0.5000
2 Sr 0.7500 0.7500 0.7500
3 Tc 0.0000 0.0000 0.0000
4 Tc 0.2500 0.2500 0.2500


A relaxed Sr2Tc2Se crystal. Source: Alexandria, functional PBE.

Results
For the calculated volume, the calculation gives 240.7 Å³/cell. As for the space-group type: P4/mbm, No. 127. The electronic total energy comes out at -5.316 eV/atom.

Cell: 6.9812 6.9812 4.9390 Å, 90.00 90.00 90.00°
Fractional coordinates of all 10 atoms:
1 Sr 0.1797 0.6797 0.5000
2 Sr 0.6797 0.8203 0.5000
3 Sr 0.8203 0.3203 0.5000
4 Sr 0.3203 0.1797 0.5000
5 Tc 0.3865 0.8865 0.0000
6 Tc 0.8865 0.6135 0.0000
7 Tc 0.6135 0.1135 0.0000
8 Tc 0.1135 0.3865 0.0000
9 Se 0.0000 0.0000 0.0000
10 Se 0.5000 0.5000 0.0000


A relaxed SrTc2Se crystal. Source: Alexandria, functional PBE.

Results
For the calculated volume, the calculation gives 77.5 Å³/cell. As for the space-group type: Cmmm, No. 65. The electronic total energy comes out at -5.593 eV/atom.

Cell: 5.3688 5.3688 3.0698 Å, 90.00 90.00 118.80°
Fractional coordinates of all 4 atoms:
1 Se 0.5000 0.0000 0.5000
2 Sr 0.0000 0.5000 0.5000
3 Tc 0.0000 0.0000 0.0000
4 Tc 0.5000 0.5000 0.0000


A relaxed SrTcSe2 crystal. Source: Alexandria, functional PBE.

Results
For the calculated volume, the calculation gives 100.3 Å³/cell. As for the space-group type: P4mm, No. 99. The electronic total energy comes out at -5.116 eV/atom.

Cell: 3.6373 3.6373 7.5792 Å, 90.00 90.00 90.00°
Fractional coordinates of all 4 atoms:
1 Se 0.0000 0.0000 0.8459
2 Se 0.5000 0.5000 0.2654
3 Sr 0.0000 0.0000 0.4482
4 Tc 0.5000 0.5000 0.9405